No. 1
DFT (PBE) results for crystalline OsPtNO at its relaxed geometry.

## Properties
Polymorph energy (0 for the lowest one) ... 0.0000 eV/atom

Geometry as CIF:
```
data_OsPtNO
_cell_length_a 5.551
_cell_length_b 2.746
_cell_length_c 7.244
_cell_angle_alpha 90.00
_cell_angle_beta 90.00
_cell_angle_gamma 90.00
_space_group_name_H-M_alt 'P 1'
_space_group_IT_number 1
loop_
_space_group_symop_operation_xyz
'x,y,z'
loop_
_atom_site_label
_atom_site_type_symbol
_atom_site_fract_x
_atom_site_fract_y
_atom_site_fract_z
O1 O 0.328 0.500 0.053
Os1 Os 0.019 0.500 0.162
Pt1 Pt 0.085 0.000 0.495
N1 N 0.823 0.000 0.297
Os2 Os 0.519 0.500 0.838
O2 O 0.828 0.500 0.947
Pt2 Pt 0.585 0.000 0.505
N2 N 0.323 0.000 0.703
```

No. 2
DFT (PBE) results for crystalline Sr2LiNbS6 at its relaxed geometry.

Geometry as CIF:
```
data_Sr2LiNbS6
_cell_length_a 6.167
_cell_length_b 7.380
_cell_length_c 11.302
_cell_angle_alpha 90.00
_cell_angle_beta 121.18
_cell_angle_gamma 90.00
_space_group_name_H-M_alt 'P 1'
_space_group_IT_number 1
loop_
_space_group_symop_operation_xyz
'x,y,z'
loop_
_atom_site_label
_atom_site_type_symbol
_atom_site_fract_x
_atom_site_fract_y
_atom_site_fract_z
Li1 Li 0.000 0.500 0.500
Sr1 Sr 0.794 0.093 0.246
S1 S 0.674 0.012 0.748
Sr2 Sr 0.206 0.907 0.754
S2 S 0.715 0.791 0.032
S3 S 0.867 0.181 0.536
S4 S 0.715 0.709 0.532
S5 S 0.867 0.319 0.036
Nb1 Nb 0.500 0.500 0.000
S6 S 0.285 0.291 0.468
Sr3 Sr 0.206 0.593 0.254
S7 S 0.674 0.488 0.248
S8 S 0.326 0.988 0.252
Li2 Li 0.000 0.000 0.000
S9 S 0.285 0.209 0.968
Sr4 Sr 0.794 0.407 0.746
S10 S 0.133 0.819 0.464
S11 S 0.133 0.681 0.964
Nb2 Nb 0.500 0.000 0.500
S12 S 0.326 0.512 0.752
```

No. 3
DFT (PBE) results for crystalline K2NiH6Ir at its relaxed geometry.

Geometry as CIF:
```
data_K2NiH6Ir
_cell_length_a 7.002
_cell_length_b 7.002
_cell_length_c 4.862
_cell_angle_alpha 90.71
_cell_angle_beta 90.71
_cell_angle_gamma 85.93
_space_group_name_H-M_alt 'P 1'
_space_group_IT_number 1
loop_
_space_group_symop_operation_xyz
'x,y,z'
loop_
_atom_site_label
_atom_site_type_symbol
_atom_site_fract_x
_atom_site_fract_y
_atom_site_fract_z
H1 H 0.448 0.783 0.236
H2 H 0.265 0.874 0.571
Ni1 Ni 0.780 0.220 0.750
Ir1 Ir 0.066 0.934 0.750
H3 H 0.552 0.217 0.764
H4 H 0.995 0.176 0.572
K1 K 0.197 0.427 0.750
H5 H 0.735 0.126 0.429
H6 H 0.176 0.995 0.072
K2 K 0.803 0.573 0.250
K3 K 0.573 0.803 0.750
H7 H 0.874 0.265 0.071
H8 H 0.005 0.824 0.428
Ni2 Ni 0.220 0.780 0.250
Ir2 Ir 0.934 0.066 0.250
H9 H 0.824 0.005 0.928
H10 H 0.217 0.552 0.264
H11 H 0.783 0.448 0.736
K4 K 0.427 0.197 0.250
H12 H 0.126 0.735 0.929
```

No. 4
DFT (PBE) results for crystalline Rb2DyErO4 at its relaxed geometry.

Geometry as CIF:
```
data_Rb2DyErO4
_cell_length_a 3.452
_cell_length_b 3.452
_cell_length_c 12.902
_cell_angle_alpha 90.00
_cell_angle_beta 90.00
_cell_angle_gamma 120.00
_space_group_name_H-M_alt 'P 1'
_space_group_IT_number 1
loop_
_space_group_symop_operation_xyz
'x,y,z'
loop_
_atom_site_label
_atom_site_type_symbol
_atom_site_fract_x
_atom_site_fract_y
_atom_site_fract_z
O1 O 0.667 0.333 0.912
Rb1 Rb 0.667 0.333 0.250
Rb2 Rb 0.333 0.667 0.750
Er1 Er 0.000 0.000 0.000
O2 O 0.667 0.333 0.590
O3 O 0.333 0.667 0.410
Dy1 Dy 0.000 0.000 0.500
O4 O 0.333 0.667 0.088
```

no.,uncorrected energy (eV per atom)
1,-7.496
2,-5.181
3,-3.780
4,-6.571